1.
A relaxed LaTc5 crystal. Source: the Alexandria database, functional PBE.

Lattice parameters (Å, degrees): 5.4670 5.4670 6.7895 75.22 75.22 31.00
Last column: nearest neighbours and their distance in Å.
Atoms (fractional coordinates):
Tc1 0.9553 0.9553 0.5797  9 Tc 2.68-2.95
Tc2 0.3242 0.3242 0.3665  6 Tc 2.57-2.68
Tc3 0.6327 0.6327 0.2944  9 Tc 2.62-2.92
Tc4 0.6818 0.6818 0.6524  6 Tc 2.57-2.79
Tc5 0.2591 0.2591 0.9265  6 Tc 2.66-2.92, 3 La 2.84-2.94
La1 0.9803 0.9803 0.0139  10 Tc 2.84-3.16, 2 La 2.92

Output
Formation energy   0.303 eV per atom
Polymorph energy (0 for the lowest one)   96 meV per atom
Total moment   0.00 Bohr magnetons per cell
Crystal system   monoclinic

---

2.
A relaxed La5Tc4 crystal. Source: the Alexandria database, functional PBE.

Lattice parameters (Å, degrees): 6.9098 6.9098 6.9098 98.32 98.32 135.27
Last column: nearest neighbours and their distance in Å.
Atoms (fractional coordinates):
Tc1 0.0000 0.3654 0.3654  1 Tc 2.43
Tc2 0.3654 0.0000 0.3654  1 Tc 2.43
La1 0.6856 0.3144 0.0000  2 Tc 2.88, 2 La 3.10
La2 0.6856 0.6856 0.3713  2 Tc 2.88, 2 La 3.10
La3 0.0000 0.0000 0.0000  4 Tc 3.30, 8 La 3.54
Tc3 0.0000 0.6346 0.6346  1 Tc 2.43
La4 0.3144 0.3144 0.6287  2 Tc 2.88, 2 La 3.10
La5 0.3144 0.6856 0.0000  2 Tc 2.88, 2 La 3.10
Tc4 0.6346 0.0000 0.6346  1 Tc 2.43

Output
Formation energy   0.389 eV per atom
Polymorph energy (0 for the lowest one)   16 meV per atom
Total moment   0.00 Bohr magnetons per cell
Crystal system   tetragonal

---

3.
A relaxed LaTc2 crystal. Source: the Alexandria database, functional PBE.

Lattice parameters (Å, degrees): 7.9475 7.9475 4.1024 90.00 90.00 120.00
Last column: nearest neighbours and their distance in Å.
Atoms (fractional coordinates):
La1 0.3333 0.6667 0.0000  9 Tc 3.07-3.18
Tc1 0.0000 0.2429 0.0000  2 Tc 2.40
Tc2 0.3998 0.0000 0.5000  2 Tc 2.40
Tc3 0.2429 0.0000 0.0000  2 Tc 2.40
La2 0.6667 0.3333 0.0000  9 Tc 3.07-3.18
La3 0.0000 0.0000 0.5000  6 Tc 2.82
Tc4 0.0000 0.3998 0.5000  2 Tc 2.40
Tc5 0.7571 0.7571 0.0000  2 Tc 2.40
Tc6 0.6002 0.6002 0.5000  2 Tc 2.40

Output
Formation energy   0.835 eV per atom
Polymorph energy (0 for the lowest one)   796 meV per atom
Total moment   0.00 Bohr magnetons per cell
Crystal system   hexagonal

---

4.
A relaxed LaTc crystal. Source: the Alexandria database, functional PBE.

Lattice parameters (Å, degrees): 3.7514 3.7514 9.1784 90.00 90.00 120.00
Last column: nearest neighbours and their distance in Å.
Atoms (fractional coordinates):
Tc1 0.0000 0.0000 0.5674  3 Tc 2.41
La1 0.3333 0.6667 0.3144  4 Tc 3.18-3.38
Tc2 0.3333 0.6667 0.6826  3 Tc 2.41
La2 0.0000 0.0000 0.9356  4 Tc 3.18-3.38

Output
Formation energy   0.371 eV per atom
Polymorph energy (0 for the lowest one)   340 meV per atom
Total moment   0.00 Bohr magnetons per cell
Crystal system   trigonal

---

5.
A relaxed La3Tc5 crystal. Source: the Alexandria database, functional PBE.

Lattice parameters (Å, degrees): 8.3196 8.3191 8.2750 96.60 96.61 140.45
Last column: nearest neighbours and their distance in Å.
Atoms (fractional coordinates):
Tc1 0.7952 0.5415 0.3377  3 Tc 2.53-2.70, 1 La 2.67
Tc2 0.2506 0.7510 0.5002  10 Tc 2.70-2.82
Tc3 0.0411 0.2956 0.3376  3 Tc 2.53-2.70, 1 La 2.67
La1 0.1994 0.6998 0.9001  2 Tc 2.67
Tc4 0.2946 0.9579 0.2530  3 Tc 2.55-2.70, 1 La 2.67
Tc5 0.7047 0.0422 0.7470  3 Tc 2.55-2.70, 1 La 2.67
La2 0.7497 0.7500 0.0001  2 La 2.81
Tc6 0.7486 0.2490 0.4998  10 Tc 2.70-2.82
La3 0.2495 0.2500 0.9999  2 La 2.81
Tc7 0.5418 0.2051 0.7470  3 Tc 2.55-2.70, 1 La 2.67
La4 0.7998 0.3002 0.0999  2 Tc 2.67
La5 0.6989 0.8006 0.5000  2 Tc 2.67
Tc8 0.9580 0.7043 0.6623  3 Tc 2.53-2.70, 1 La 2.67
Tc9 0.4574 0.7949 0.2530  3 Tc 2.55-2.70, 1 La 2.67
La6 0.3002 0.1993 0.5000  2 Tc 2.67
Tc10 0.2040 0.4584 0.6624  3 Tc 2.53-2.70, 1 La 2.67

Output
Formation energy   0.361 eV per atom
Polymorph energy (0 for the lowest one)   0 meV per atom
Total moment   0.24 Bohr magnetons per cell
Crystal system   orthorhombic

---

6.
A relaxed LaTc5 crystal. Source: the Alexandria database, functional PBE.

Lattice parameters (Å, degrees): 6.4093 6.4093 4.1480 90.00 90.00 141.86
Last column: nearest neighbours and their distance in Å.
Atoms (fractional coordinates):
Tc1 0.1888 0.8112 0.5000  4 Tc 2.53-2.57
Tc2 0.8112 0.1888 0.5000  4 Tc 2.53-2.57
Tc3 0.3079 0.6921 0.0000  4 Tc 2.52-2.53
Tc4 0.6921 0.3079 0.0000  4 Tc 2.52-2.53
La1 0.0000 0.0000 0.0000  12 Tc 2.95-3.13
Tc5 0.5000 0.5000 0.5000  4 La 2.95, 8 Tc 3.10-3.12

Output
Formation energy   0.319 eV per atom
Polymorph energy (0 for the lowest one)   112 meV per atom
Total moment   1.40 Bohr magnetons per cell
Crystal system   orthorhombic

---

7.
A relaxed LaTc5 crystal. Source: the Alexandria database, functional PBE.

Lattice parameters (Å, degrees): 5.3029 5.3029 5.3029 60.00 60.00 60.00
Last column: nearest neighbours and their distance in Å.
Atoms (fractional coordinates):
Tc1 0.6247 0.1258 0.6247  6 Tc 2.65-2.66
La1 0.0000 0.0000 0.0000  16 Tc 3.11-3.25
Tc2 0.1258 0.6247 0.6247  6 Tc 2.65-2.66
Tc3 0.6247 0.6247 0.1258  6 Tc 2.65-2.66
Tc4 0.6247 0.6247 0.6247  6 Tc 2.65-2.66
Tc5 0.2500 0.2500 0.2500  12 Tc 3.11, 4 La 3.25

Output
Formation energy   0.405 eV per atom
Polymorph energy (0 for the lowest one)   198 meV per atom
Total moment   0.00 Bohr magnetons per cell
Crystal system   cubic

---

8.
A relaxed LaTc crystal. Source: the Alexandria database, functional PBE.

Lattice parameters (Å, degrees): 3.3997 5.3080 5.5146 101.73 107.95 90.00
Last column: nearest neighbours and their distance in Å.
Atoms (fractional coordinates):
Tc1 0.2119 0.8814 0.4239  1 La 2.47
Tc2 0.5381 0.5353 0.0761  1 La 2.47
La1 0.7552 0.4270 0.5104  1 Tc 2.47
La2 0.9948 0.9897 0.9896  1 Tc 2.47

Output
Formation energy   0.340 eV per atom
Polymorph energy (0 for the lowest one)   309 meV per atom
Total moment   0.00 Bohr magnetons per cell
Crystal system   monoclinic

---

9.
A relaxed LaTc2 crystal. Source: the Alexandria database, functional PBE.

Lattice parameters (Å, degrees): 5.2517 5.2517 8.0253 84.15 84.15 35.62
Last column: nearest neighbours and their distance in Å.
Atoms (fractional coordinates):
Tc1 0.3343 0.3343 0.8077  4 Tc 2.55-2.57
Tc2 0.9731 0.9731 0.6117  6 Tc 2.55-2.64
Tc3 0.6671 0.6671 0.6889  4 Tc 2.57-2.64
La1 0.0462 0.0462 0.0146  8 Tc 3.17-3.39, 2 La 3.21
La2 0.2788 0.2788 0.3482  1 Tc 2.56
Tc4 0.5338 0.5338 0.3621  1 La 2.56, 2 Tc 2.59

Output
Formation energy   0.323 eV per atom
Polymorph energy (0 for the lowest one)   284 meV per atom
Total moment   0.00 Bohr magnetons per cell
Crystal system   monoclinic

---

10.
A relaxed LaTc2 crystal. Source: the Alexandria database, functional PBE.

Lattice parameters (Å, degrees): 6.3275 6.3275 6.3275 132.96 132.96 68.72
Last column: nearest neighbours and their distance in Å.
Atoms (fractional coordinates):
Tc1 0.7968 0.7032 0.5000  4 Tc 2.57
La1 0.7500 0.7500 0.0000  8 Tc 3.18
La2 0.2500 0.2500 0.0000  8 Tc 3.18
Tc2 0.7032 0.2032 0.9063  4 Tc 2.57
Tc3 0.2032 0.2968 0.5000  4 Tc 2.57
Tc4 0.2968 0.7968 0.0937  4 Tc 2.57

Output
Formation energy   0.300 eV per atom
Polymorph energy (0 for the lowest one)   261 meV per atom
Total moment   0.00 Bohr magnetons per cell
Crystal system   tetragonal

---

11.
A relaxed LaTc2 crystal. Source: the Alexandria database, functional PBE.

Lattice parameters (Å, degrees): 6.4934 6.4934 6.4934 152.02 152.02 39.98
Last column: nearest neighbours and their distance in Å.
Atoms (fractional coordinates):
Tc1 0.6988 0.6988 0.0000  4 Tc 2.55
La1 0.0000 0.0000 0.0000  4 La 3.14, 8 Tc 3.29
Tc2 0.3012 0.3012 0.0000  4 Tc 2.55

Output
Formation energy   0.159 eV per atom
Polymorph energy (0 for the lowest one)   120 meV per atom
Total moment   0.00 Bohr magnetons per cell
Crystal system   tetragonal

---

12.
A relaxed La2TcTe crystal. Source: the Alexandria database, functional PBE.

Lattice parameters (Å, degrees): 6.2032 6.2032 6.2032 138.09 138.09 60.77
Last column: nearest neighbours and their distance in Å.
Atoms (fractional coordinates):
La1 0.0000 0.0000 0.0000  4 Tc 3.14, 4 La 3.48, 4 Te 3.48
Te1 0.7500 0.2500 0.5000  8 La 3.14-3.48, 4 Tc 3.48
Tc1 0.5000 0.5000 0.0000  8 La 3.14-3.48, 4 Te 3.48
La2 0.2500 0.7500 0.5000  4 Te 3.14, 4 La 3.48, 4 Tc 3.48

Output
Formation energy (no corrections)   -0.239 eV/atom
Polymorph energy (0 for the lowest one)   291 meV per atom
Total moment   1.03 Bohr magnetons per cell
Crystal system   tetragonal

---

Number 12 is which compound? La2TcTe